(1)
NaPaZnO4 after structural relaxation, computed with PBE-GGA.

Results
* E_form (uncorrected): -2505 meV/atom

Cell: 6.2428 7.0753 9.4430 Å, 90.00 90.00 90.00°
Space group Imma (No. 74)
Asymmetric unit:
Na: 0.0000 0.2500 0.1561 x4
Pa: 0.0000 0.0000 0.5000 x4
Zn: 0.2500 0.2500 0.7500 x4
O: 0.0000 0.0506 0.7260 x8
O: 0.2126 0.2500 0.4889 x8

---

(2)
Sm8Ga2Os after structural relaxation, computed with PBE-GGA.

Results
* energy above the most stable polymorph in this dataset: 1.15 eV/f.u.

Cell: 4.9548 8.4194 14.5273 Å, 90.00 90.00 90.00°
Space group Immm (No. 71)
Asymmetric unit:
Sm: 0.0000 0.0000 0.1217 x4
Sm: 0.0000 0.2289 0.3441 x8
Sm: 0.0000 0.3277 0.0000 x4
Ga: 0.0000 0.5000 0.1928 x4
Os: 0.0000 0.5000 0.5000 x2

---

(3)
Na3ZnPt after structural relaxation, computed with PBE-GGA.

Results
* energy above the most stable polymorph in this dataset: 0.00 eV/f.u.

Cell: 5.4743 5.4743 5.4743 Å, 90.00 90.00 90.00°
Space group Pm-3m (No. 221)
Asymmetric unit:
Na: 0.0000 0.0000 0.5000 x3
Zn: 0.5000 0.5000 0.5000 x1
Pt: 0.0000 0.0000 0.0000 x1

---

(4)
Th2UBeN5 after structural relaxation, computed with PBE-GGA.

Results
* E_form (uncorrected): -1368 meV/atom

Cell: 3.4451 13.5256 10.4905 Å, 90.00 90.00 90.00°
Space group Cmc2_1 (No. 36)
Asymmetric unit:
Th: 0.0000 0.1094 0.0000 x4
Th: 0.0000 0.1301 0.6541 x4
U: 0.0000 0.1823 0.3420 x4
Be: 0.0000 0.4519 0.7275 x4
N: 0.0000 0.0277 0.3041 x4
N: 0.0000 0.2923 0.9835 x4
N: 0.0000 0.3213 0.6987 x4
N: 0.0000 0.3382 0.3296 x4
N: 0.0000 0.4925 0.0853 x4

---

(5)
TbScCo2 after structural relaxation, computed with PBE-GGA.

Results
* energy above the most stable polymorph in this dataset: 0.01 eV/f.u.

Cell: 6.4831 6.4831 6.4831 Å, 90.00 90.00 90.00°
Space group Fm-3m (No. 225)
Asymmetric unit:
Tb: 0.0000 0.0000 0.0000 x4
Sc: 0.0000 0.0000 0.5000 x4
Co: 0.2500 0.2500 0.2500 x8

---

(6)
NdDy3N4 after structural relaxation, computed with PBE-GGA.

Results
* energy above the most stable polymorph in this dataset: 0.00 eV/f.u.
* E_form (uncorrected): -1600 meV/atom

Cell: 6.0963 7.0461 6.0949 Å, 90.00 109.46 90.00°
Space group P2/c (No. 13)
Asymmetric unit:
Nd: 0.0000 0.1270 0.2500 x2
Dy: 0.0000 0.3762 0.7500 x2
Dy: 0.5000 0.1288 0.7500 x2
Dy: 0.5000 0.3759 0.2500 x2
N: 0.2525 0.3776 0.5055 x4
N: 0.2584 0.1324 0.9980 x4

---

(7)
Li3La3NpSe8 after structural relaxation, computed with PBE-GGA.

Results
* E_form (uncorrected): -1586 meV/atom

Cell: 8.6202 8.6202 19.2427 Å, 90.00 90.00 120.00°
Space group R-3m (No. 166, hexagonal axes)
Asymmetric unit:
Li: 0.0000 0.5000 0.0000 x9
La: 0.0000 0.5000 0.5000 x9
Np: 0.0000 0.0000 0.5000 x3
Se: 0.0000 0.0000 0.2530 x6
Se: 0.0188 0.5094 0.2499 x18

---

(8)
Pu2Tl3PtS6 after structural relaxation, computed with PBE-GGA.

Results
* E_form (uncorrected): -849 meV/atom

Cell: 7.1419 11.2483 8.0868 Å, 90.00 110.43 90.00°
Space group C2/m (No. 12)
Asymmetric unit:
Pu: 0.0000 0.1676 0.0000 x4
Tl: 0.0000 0.0000 0.5000 x2
Tl: 0.0000 0.3284 0.5000 x4
Pt: 0.0000 0.5000 0.0000 x2
S: 0.2041 0.0000 0.2327 x4
S: 0.2225 0.3500 0.1765 x8